Below is a relaxed Nd3Sm5 crystal, with properties calculated at the PBE-GGA level.

The structure belongs to space group P4/mmm (No. 123); the cell edges are 3.650, 3.650 and 20.646 Å and the angles 90.00°, 90.00° and 90.00°. The inequivalent atoms are Nd at (0.000, 0.000, 0.000), Nd at (0.500, 0.500, 0.375), Sm at (0.000, 0.000, 0.249), Sm at (0.000, 0.000, 0.500) and Sm at (0.500, 0.500, 0.125).

The value obtained for the raw total energy is -0.1735 hartree per atom. For the formation energy from the elements, the calculation gives 0.02 eV/atom.

Below is a relaxed ScIr2Os crystal, with properties calculated at the PBE-GGA level.

The structure belongs to space group R-3m (No. 166, hexagonal axes); the cell edges are 2.8509, 2.8509 and 26.5966 Å and the angles 90.00°, 90.00° and 120.00°. The inequivalent atoms are Sc at (0.0000, 0.0000, 0.0000), Ir at (0.0000, 0.0000, 0.2483) and Os at (0.0000, 0.0000, 0.5000).

The value obtained for the raw total energy is -0.3257 hartree per atom. The energy above the most stable polymorph in this dataset is 350 meV per atom. For the formation energy from the elements, the calculation gives -0.04 eV/atom.

Below is a relaxed Mn2CdCu crystal, with properties calculated at the PBE-GGA level.

The structure belongs to space group Pmmm (No. 47); the cell edges are 3.910, 3.946 and 3.981 Å and the angles 90.00°, 90.00° and 90.00°. The inequivalent atoms are Mn at (0.000, 0.000, 0.000), Mn at (0.000, 0.500, 0.500), Cd at (0.500, 0.000, 0.500) and Cu at (0.500, 0.500, 0.000).

The value obtained for the raw total energy is -0.2035 hartree per atom. For the formation energy from the elements, the calculation gives 0.30 eV/atom.

Below is a relaxed MnAl2Se crystal, with properties calculated at the PBE-GGA level.

The structure belongs to space group Cmmm (No. 65); the cell edges are 5.320, 7.608 and 3.214 Å and the angles 90.00°, 90.00° and 90.00°. The inequivalent atoms are Mn at (0.000, 0.000, 0.000), Al at (0.250, 0.250, 0.500) and Se at (0.000, 0.500, 0.000).

The value obtained for the raw total energy is -0.1832 hartree per atom. The uncorrected formation energy comes out at 0.050 eV per atom.

Below is a relaxed YLuSc2 crystal, with properties calculated at the PBE-GGA level.

The structure belongs to space group P4/mmm (No. 123); the cell edges are 4.828, 4.828 and 4.731 Å and the angles 90.00°, 90.00° and 90.00°. The inequivalent atoms are Y at (0.000, 0.000, 0.000), Lu at (0.500, 0.500, 0.000) and Sc at (0.000, 0.500, 0.500).

The value obtained for the raw total energy is -0.2151 hartree per atom. The energy above the most stable polymorph in this dataset is 0 meV per atom. For the formation energy from the elements, the calculation gives 0.06 eV/atom.

Below is a relaxed Ti2Ge2S7 crystal, with properties calculated at the PBE-GGA level.

The structure belongs to space group C2/m (No. 12); the cell edges are 6.741, 10.658 and 9.900 Å and the angles 90.00°, 105.47° and 90.00°. The inequivalent atoms are Ti at (0.000, 0.162, 0.000), Ge at (0.155, 0.500, 0.735), S at (0.000, 0.500, 0.500), S at (0.023, 0.000, 0.832) and S at (0.147, 0.319, 0.868).

The value obtained for the raw total energy is -0.2049 hartree per atom. The uncorrected formation energy comes out at -0.673 eV per atom.

Below is a relaxed SrHgCl2 crystal, with properties calculated at the PBE-GGA level.

The structure belongs to space group Immm (No. 71); the cell edges are 4.351, 6.607 and 9.484 Å and the angles 90.00°, 90.00° and 90.00°. The inequivalent atoms are Sr at (0.000, 0.000, 0.000), Hg at (0.000, 0.000, 0.500) and Cl at (0.000, 0.500, 0.305).

The value obtained for the raw total energy is -0.1118 hartree per atom. The energy above the most stable polymorph in this dataset is 177 meV per atom. The uncorrected formation energy comes out at -1.623 eV per atom.

Below is a relaxed BaScOs crystal, with properties calculated at the PBE-GGA level.

The structure belongs to space group P3m1 (No. 156); the cell edges are 4.3237, 4.3237 and 5.6086 Å and the angles 90.00°, 90.00° and 120.00°. The inequivalent atoms are Ba at (0.0000, 0.0000, 0.0000), Sc at (0.6667, 0.3333, 0.4791) and Os at (0.3333, 0.6667, 0.3615).

The value obtained for the raw total energy is -0.2228 hartree per atom. The energy above the most stable polymorph in this dataset is 187 meV per atom. For the formation energy from the elements, the calculation gives 0.43 eV/atom.

Below is a relaxed MgAgSeO4 crystal, with properties calculated at the PBE-GGA level.

The structure belongs to space group Imma (No. 74); the cell edges are 6.477, 6.745 and 8.266 Å and the angles 90.00°, 90.00° and 90.00°. The inequivalent atoms are Mg at (0.250, 0.250, 0.250), Ag at (0.000, 0.000, 0.000), Se at (0.000, 0.250, 0.657), O at (0.000, 0.055, 0.251) and O at (0.211, 0.250, 0.531).

The value obtained for the raw total energy is -0.1819 hartree per atom. The uncorrected formation energy comes out at -0.984 eV per atom.

Below is a relaxed MgAgRu2 crystal, with properties calculated at the PBE-GGA level.

The structure belongs to space group Cmmm (No. 65); the cell edges are 2.877, 4.625 and 9.443 Å and the angles 90.00°, 90.00° and 90.00°. The inequivalent atoms are Mg at (0.000, 0.000, 0.000), Ag at (0.000, 0.000, 0.500) and Ru at (0.000, 0.500, 0.240).

The value obtained for the raw total energy is -0.1965 hartree per atom. For the formation energy from the elements, the calculation gives 0.40 eV/atom.